1.
Crystalline FeMoP at its relaxed geometry, computed with GGA-PBE.

Results
calculated density: 8.28 g/cm3
formation energy: -0.58 eV/atom
size of the total moment: 0.01 μB/cell

Lattice parameters (Å, degrees): 5.8537 3.7207 10.1015 90.00 90.33 90.00
Space group P2_1/m (No. 11)
Symmetry-distinct sites (fractional):
Fe: 0.0159 0.2500 0.0878 x2
Fe: 0.1404 0.2500 0.4587 x2
Fe: 0.3615 0.7500 0.7914 x2
Mo: 0.0245 0.2500 0.7123 x2
Mo: 0.3492 0.7500 0.0811 x2
Mo: 0.4698 0.7500 0.3810 x2
P: 0.2341 0.2500 0.9124 x2
P: 0.2337 0.7500 0.5810 x2
P: 0.2688 0.2500 0.2506 x2


2.
Crystalline HoTiTlAg at its relaxed geometry, computed with GGA-PBE.

Results
calculated density: 9.81 g/cm3
formation energy: -0.06 eV/atom
size of the total moment: 5.77 μB/cell

Lattice parameters (Å, degrees): 7.0846 7.0846 7.0846 90.00 90.00 90.00
Space group F-43m (No. 216)
Symmetry-distinct sites (fractional):
Ho: 0.0000 0.0000 0.0000 x4
Ti: 0.0000 0.0000 0.5000 x4
Tl: 0.2500 0.2500 0.2500 x4
Ag: 0.2500 0.2500 0.7500 x4


3.
Crystalline HfZr3Co2 at its relaxed geometry, computed with GGA-PBE.

Results
distance to the lowest polymorph of the same formula: 0.000 eV per atom
calculated density: 8.51 g/cm3
formation energy: -0.11 eV/atom
size of the total moment: 0.00 μB/cell

Lattice parameters (Å, degrees): 3.3812 4.6579 14.1252 90.00 90.00 90.00
Space group Immm (No. 71)
Symmetry-distinct sites (fractional):
Hf: 0.0000 0.0000 0.0000 x2
Zr: 0.0000 0.0000 0.5000 x2
Zr: 0.0000 0.5000 0.1854 x4
Co: 0.0000 0.5000 0.3589 x4


4.
Crystalline BaCeAgSn at its relaxed geometry, computed with GGA-PBE.

Results
calculated density: 6.47 g/cm3
formation energy: -0.31 eV/atom
size of the total moment: 4.66 μB/cell

Lattice parameters (Å, degrees): 8.0267 8.0267 8.0267 90.00 90.00 90.00
Space group F-43m (No. 216)
Symmetry-distinct sites (fractional):
Ba: 0.0000 0.0000 0.0000 x4
Ce: 0.0000 0.0000 0.5000 x4
Ag: 0.2500 0.2500 0.7500 x4
Sn: 0.2500 0.2500 0.2500 x4


5.
Crystalline FePt6Rh8 at its relaxed geometry, computed with GGA-PBE.

Results
calculated density: 14.03 g/cm3
formation energy: 0.25 eV/atom
size of the total moment: 4.26 μB/cell

Lattice parameters (Å, degrees): 7.3137 7.3137 5.2367 90.00 90.00 120.00
Space group P-3 (No. 147)
Symmetry-distinct sites (fractional):
Fe: 0.0000 0.0000 0.0000 x1
Pt: 0.0531 0.6854 0.0972 x6
Rh: 0.0438 0.3600 0.4126 x6
Rh: 0.3333 0.6667 0.7293 x2


6.
Crystalline VP2W2 at its relaxed geometry, computed with GGA-PBE.

Results
calculated density: 11.46 g/cm3
formation energy: -0.15 eV/atom
size of the total moment: 0.00 μB/cell

Lattice parameters (Å, degrees): 6.5628 6.5628 3.2335 90.00 90.00 90.00
Space group P4/mbm (No. 127)
Symmetry-distinct sites (fractional):
V: 0.0000 0.0000 0.0000 x2
P: 0.1500 0.3500 0.0000 x4
W: 0.1488 0.6488 0.5000 x4


7.
Crystalline ScRe2Ag at its relaxed geometry, computed with GGA-PBE.

Results
distance to the lowest polymorph of the same formula: 0.232 eV per atom
calculated density: 13.16 g/cm3
formation energy: 0.27 eV/atom
size of the total moment: 0.00 μB/cell

Lattice parameters (Å, degrees): 3.8453 3.8453 4.4838 90.00 90.00 90.00
Space group P4/mmm (No. 123)
Symmetry-distinct sites (fractional):
Sc: 0.0000 0.0000 0.0000 x1
Re: 0.0000 0.5000 0.5000 x2
Ag: 0.5000 0.5000 0.0000 x1


8.
Crystalline TiP2Ru at its relaxed geometry, computed with GGA-PBE.

Results
distance to the lowest polymorph of the same formula: 0.000 eV per atom
calculated density: 5.96 g/cm3
formation energy: -0.60 eV/atom
size of the total moment: 0.00 μB/cell

Lattice parameters (Å, degrees): 3.6745 3.6745 15.0744 90.00 90.00 120.00
Space group R-3m (No. 166, hexagonal axes)
Symmetry-distinct sites (fractional):
Ti: 0.0000 0.0000 0.0000 x3
P: 0.0000 0.0000 0.2419 x6
Ru: 0.0000 0.0000 0.5000 x3


9.
Crystalline BeCrIr2 at its relaxed geometry, computed with GGA-PBE.

Results
calculated density: 14.70 g/cm3
formation energy: -0.25 eV/atom
size of the total moment: 2.19 μB/cell

Lattice parameters (Å, degrees): 4.1291 4.1291 2.9517 90.00 90.00 90.00
Space group P4/mmm (No. 123)
Symmetry-distinct sites (fractional):
Be: 0.0000 0.0000 0.0000 x1
Cr: 0.5000 0.5000 0.0000 x1
Ir: 0.0000 0.5000 0.5000 x2


10.
Crystalline ErScBeZn at its relaxed geometry, computed with GGA-PBE.

Results
calculated density: 6.22 g/cm3
formation energy: -0.15 eV/atom
size of the total moment: 0.00 μB/cell

Lattice parameters (Å, degrees): 6.7385 6.7385 6.7385 90.00 90.00 90.00
Space group F-43m (No. 216)
Symmetry-distinct sites (fractional):
Er: 0.0000 0.0000 0.0000 x4
Sc: 0.0000 0.0000 0.5000 x4
Be: 0.2500 0.2500 0.2500 x4
Zn: 0.2500 0.2500 0.7500 x4


11.
Crystalline RbSbOsO6 at its relaxed geometry, computed with GGA-PBE.

Results
energy relative to the elements, uncorrected: -1.308 eV/atom
calculated density: 5.94 g/cm3
size of the total moment: 7.81 μB/cell

Lattice parameters (Å, degrees): 7.2868 7.2951 10.3849 90.00 90.00 90.00
Space group Imma (No. 74)
Symmetry-distinct sites (fractional):
Rb: 0.0000 0.2500 0.1236 x4
Sb: 0.2500 0.2500 0.7500 x4
Os: 0.0000 0.0000 0.5000 x4
O: 0.0000 0.2500 0.4430 x4
O: 0.0000 0.2500 0.8273 x4
O: 0.1901 0.0483 0.6245 x16


12.
Crystalline Si3TeW at its relaxed geometry, computed with GGA-PBE.

Results
energy relative to the elements, uncorrected: 0.685 eV/atom
distance to the lowest polymorph of the same formula: 0.000 eV per atom
calculated density: 5.77 g/cm3
size of the total moment: 0.00 μB/cell

Lattice parameters (Å, degrees): 4.8467 4.8467 4.8467 90.00 90.00 90.00
Space group Pm-3m (No. 221)
Symmetry-distinct sites (fractional):
Si: 0.0000 0.0000 0.5000 x3
Te: 0.5000 0.5000 0.5000 x1
W: 0.0000 0.0000 0.0000 x1


13.
Crystalline K4SeCl at its relaxed geometry, computed with GGA-PBE.

Results
energy relative to the elements, uncorrected: -0.439 eV/atom
calculated density: 2.05 g/cm3
size of the total moment: 1.92 μB/cell

Lattice parameters (Å, degrees): 9.5723 9.5723 9.5723 90.00 90.00 90.00
Space group F-43m (No. 216)
Symmetry-distinct sites (fractional):
K: 0.1242 0.1242 0.1242 x16
Se: 0.2500 0.2500 0.7500 x4
Cl: 0.0000 0.0000 0.5000 x4


14.
Crystalline ScZn4P at its relaxed geometry, computed with GGA-PBE.

Results
calculated density: 5.63 g/cm3
formation energy: 0.01 eV/atom
size of the total moment: 0.00 μB/cell

Lattice parameters (Å, degrees): 7.3567 7.3567 7.3567 90.00 90.00 90.00
Space group F-43m (No. 216)
Symmetry-distinct sites (fractional):
Sc: 0.0000 0.0000 0.0000 x4
Zn: 0.1256 0.1256 0.6256 x16
P: 0.2500 0.2500 0.2500 x4


15.
Crystalline SrOsRu at its relaxed geometry, computed with GGA-PBE.

Results
distance to the lowest polymorph of the same formula: 0.042 eV per atom
calculated density: 8.86 g/cm3
formation energy: 0.30 eV/atom
size of the total moment: 0.00 μB/cell

Lattice parameters (Å, degrees): 4.0521 6.2245 6.4023 73.59 71.65 71.01
Space group P1 (No. 1)
Symmetry-distinct sites (fractional):
Sr: 0.0000 0.0000 0.0000 x1
Sr: 0.1551 0.2623 0.4276 x1
Os: 0.3291 0.5193 0.8214 x1
Os: 0.7040 0.5560 0.0365 x1
Ru: 0.4582 0.6989 0.3843 x1
Ru: 0.8285 0.7408 0.6033 x1


16.
Crystalline NaPuGeO6 at its relaxed geometry, computed with GGA-PBE.

Results
energy relative to the elements, uncorrected: -1.876 eV/atom
calculated density: 5.83 g/cm3
size of the total moment: 2.00 μB/cell

Lattice parameters (Å, degrees): 5.2212 5.2212 10.5141 90.00 90.00 120.00
Space group P-31c (No. 163)
Symmetry-distinct sites (fractional):
Na: 0.0000 0.0000 0.0000 x2
Pu: 0.3333 0.6667 0.2500 x2
Ge: 0.3333 0.6667 0.7500 x2
O: 0.0137 0.3714 0.6476 x12


17.
Crystalline Tc2GeP2 at its relaxed geometry, computed with GGA-PBE.

Results
distance to the lowest polymorph of the same formula: 0.000 eV per atom
calculated density: 7.26 g/cm3
formation energy: -0.14 eV/atom
size of the total moment: 0.00 μB/cell

Lattice parameters (Å, degrees): 3.5828 3.5828 11.7739 90.00 90.00 90.00
Space group I4/mmm (No. 139)
Symmetry-distinct sites (fractional):
Tc: 0.0000 0.0000 0.1200 x4
Ge: 0.0000 0.0000 0.5000 x2
P: 0.0000 0.5000 0.2500 x4


18.
Crystalline Ho6Ir2Pt at its relaxed geometry, computed with GGA-PBE.

Results
calculated density: 11.05 g/cm3
formation energy: -0.73 eV/atom
size of the total moment: 0.00 μB/cell

Lattice parameters (Å, degrees): 6.6168 7.1940 11.5857 90.00 121.25 90.00
Space group P2_1/c (No. 14)
Symmetry-distinct sites (fractional):
Ho: 0.0873 0.0523 0.2566 x4
Ho: 0.2640 0.6712 0.0824 x4
Ho: 0.4101 0.1815 0.0691 x4
Ir: 0.3159 0.1161 0.7674 x4
Pt: 0.0000 0.0000 0.0000 x2


19.
Crystalline LuTeRh at its relaxed geometry, computed with GGA-PBE.

Results
energy relative to the elements, uncorrected: -0.672 eV/atom
calculated density: 10.29 g/cm3
size of the total moment: 0.00 μB/cell

Lattice parameters (Å, degrees): 3.8017 3.8017 9.0563 90.00 90.00 90.00
Space group I4mm (No. 107)
Symmetry-distinct sites (fractional):
Lu: 0.0000 0.0000 0.0000 x2
Te: 0.0000 0.0000 0.3293 x2
Rh: 0.0000 0.0000 0.6273 x2


20.
Crystalline CaPrPdAu at its relaxed geometry, computed with GGA-PBE.

Results
distance to the lowest polymorph of the same formula: 0.000 eV per atom
calculated density: 7.91 g/cm3
formation energy: -0.78 eV/atom
size of the total moment: 0.00 μB/cell

Lattice parameters (Å, degrees): 4.5432 4.0027 11.1787 90.00 90.00 90.00
Space group Amm2 (No. 38)
Symmetry-distinct sites (fractional):
Ca: 0.0000 0.0000 0.0000 x2
Pr: 0.5000 0.0000 0.2763 x2
Pd: 0.0000 0.0000 0.7251 x2
Au: 0.5000 0.0000 0.5573 x2